An optimized crystal structure of Tl2SiNi. Source: the Alexandria database, functional PBE-GGA.

a b c (Å): 3.2158 3.2158 7.9709
angles (deg): 90.00 90.00 98.82
Closest atoms and distances in Å follow each position.
Element x y z (fractional)
Tl (0.0000, 0.0000, 0.2221)  4 Ni 2.74-3.02, 2 Si 3.05
Tl (0.0000, 0.0000, 0.7779)  4 Ni 2.74-3.02, 2 Si 3.05
Si (0.5000, 0.5000, 0.5000)  8 Tl 3.05-3.30, 4 Si 3.22
Ni (0.5000, 0.5000, 0.0000)  8 Tl 2.74-3.02

Values from the calculation:
- Uncorrected formation energy: 12.84 kcal/mol of atoms